# CoCu2Sn

A relaxed CoCu2Sn crystal (PBE, Alexandria).

Cell: 3.7223 3.7223 3.9710 Å, 90.00 90.00 90.00°
With the nearest neighbours (Å) after each atom.
Atoms (fractional coordinates):
1 Co 0.0000 0.0000 0.0000  4 Sn 2.63, 8 Cu 2.72
2 Cu 0.0000 0.5000 0.5000  4 Cu 2.63, 4 Sn 2.72, 4 Co 2.72
3 Cu 0.5000 0.0000 0.5000  4 Cu 2.63, 4 Sn 2.72, 4 Co 2.72
4 Sn 0.5000 0.5000 0.0000  4 Co 2.63, 8 Cu 2.72

Output
formation enthalpy at 0 K: 0.07 eV/atom
uncorrected energy: -0.3499 Ry/atom
density of states at the Fermi level: 2.433 states/eV/f.u.